Entry 1:
DFT (PBE) results for a geometry-optimized Sr2HgMo structure.

a = 4.565 Å, b = 4.565 Å, c = 21.757 Å
α = 90.00°, β = 90.00°, γ = 90.00°
Space group I-42d (No. 122)
Asymmetric unit:
Sr (0.247, 0.250, 0.125) x8
Hg (0.000, 0.000, 0.500) x4
Mo (0.000, 0.000, 0.000) x4

Computed properties:
DOS at the Fermi energy: 0.630 states/eV/atom
ΔH_f (0 K): 23.57 kcal/mol of atoms

---

Entry 2:
DFT (PBE) results for a geometry-optimized Be2PtSe structure.

a = 2.764 Å, b = 3.183 Å, c = 6.314 Å
α = 90.00°, β = 90.00°, γ = 90.00°
Space group Pmmm (No. 47)
Asymmetric unit:
Be (0.000, 0.000, 0.194) x2
Pt (0.500, 0.500, 0.000) x1
Se (0.000, 0.500, 0.500) x1

Computed properties:
DOS at the Fermi energy: 0.245 states/eV/atom
Formation energy without anion corrections: -235 meV per atom

---

Entry 3:
DFT (PBE) results for a geometry-optimized Cr3FeSn structure.

a = 4.315 Å, b = 4.315 Å, c = 4.315 Å
α = 90.00°, β = 90.00°, γ = 90.00°
Space group Pm-3m (No. 221)
Asymmetric unit:
Cr (0.000, 0.000, 0.500) x3
Fe (0.000, 0.000, 0.000) x1
Sn (0.500, 0.500, 0.500) x1

Computed properties:
DOS at the Fermi energy: 0.974 states/eV/atom
ΔH_f (0 K): 19.87 kcal/mol of atoms
Energy above the most stable polymorph in this dataset: 0 meV per atom

---

Entry 4:
DFT (PBE) results for a geometry-optimized YCdIn structure.

a = 5.123 Å, b = 5.175 Å, c = 6.517 Å
α = 89.15°, β = 89.87°, γ = 60.42°
Space group P1 (No. 1)
Asymmetric unit:
Y (0.000, 0.000, 0.000) x1
Y (0.334, 0.332, 0.612) x1
Cd (0.333, 0.335, 0.124) x1
Cd (0.667, 0.666, 0.301) x1
In (0.001, 0.998, 0.483) x1
In (0.667, 0.666, 0.813) x1

Computed properties:
DOS at the Fermi energy: 0.314 states/eV/atom
ΔH_f (0 K): -8.07 kcal/mol of atoms

---

Entry 5:
DFT (PBE) results for a geometry-optimized Pm9Dy2Mg structure.

a = 5.076 Å, b = 5.076 Å, c = 15.348 Å
α = 90.00°, β = 90.00°, γ = 90.00°
Space group P4/mmm (No. 123)
Asymmetric unit:
Pm (0.000, 0.000, 0.000) x1
Pm (0.000, 0.000, 0.330) x2
Pm (0.000, 0.500, 0.164) x4
Pm (0.000, 0.500, 0.500) x2
Dy (0.500, 0.500, 0.331) x2
Mg (0.500, 0.500, 0.000) x1

Computed properties:
DOS at the Fermi energy: 1.450 states/eV/atom
ΔH_f (0 K): 0.28 kcal/mol of atoms

---

Entry 6:
DFT (PBE) results for a geometry-optimized Sc5Co structure.

a = 3.507 Å, b = 14.802 Å, c = 4.936 Å
α = 90.00°, β = 90.00°, γ = 90.00°
Space group Cmmm (No. 65)
Asymmetric unit:
Sc (0.000, 0.000, 0.000) x2
Sc (0.000, 0.133, 0.500) x4
Sc (0.000, 0.331, 0.000) x4
Co (0.000, 0.500, 0.500) x2

Computed properties:
DOS at the Fermi energy: 1.199 states/eV/atom
ΔH_f (0 K): 0.03 kcal/mol of atoms
Energy above the most stable polymorph in this dataset: 107 meV per atom